No. 1
Material: ZrBeRu2
Method: DFT, GGA-PBE
State: relaxed

Cell lengths 3.127, 3.127, 5.944 Å; angles 90.00, 90.00, 90.00 degrees
Positions (direct):
Zr 0.000 0.000 0.000
Be 0.000 0.000 0.500
Ru 0.500 0.500 0.284
Ru 0.500 0.500 0.716

Properties
- DOS(E_F) (states/eV per atom) = 0.761

No. 2
Material: ZrBeRu2
Method: DFT, GGA-PBE
State: relaxed

Cell lengths 2.868, 3.862, 5.346 Å; angles 90.00, 90.00, 90.00 degrees
Positions (direct):
Zr 0.000 0.000 0.000
Be 0.500 0.500 0.289
Ru 0.000 0.000 0.487
Ru 0.500 0.500 0.723

Properties
- DOS(E_F) (states/eV per atom) = 0.818

no.,energy relative to the elements (eV/atom)
1,-0.305
2,-0.099